[1]
This record from Alexandria describes K5Na3Ta2Nb6O24 after structural relaxation. The functional is PBEsol.

The structure in POSCAR format:
```
K5Na3Ta2Nb6O24
1.0
7.953 0.000 0.000
0.000 5.673 5.694
0.000 -5.673 5.694
K Na Ta Nb O
5 3 2 6 24
direct
0.000 0.000 0.000
0.000 0.001 0.500
0.000 0.500 0.001
0.000 0.500 0.500
0.500 0.000 0.000
0.500 0.016 0.517
0.500 0.515 0.515
0.500 0.517 0.016
0.251 0.753 0.753
0.749 0.753 0.753
0.252 0.255 0.756
0.252 0.257 0.257
0.252 0.756 0.255
0.748 0.255 0.756
0.748 0.257 0.257
0.748 0.756 0.255
0.000 0.242 0.242
0.000 0.244 0.740
0.000 0.740 0.244
0.000 0.742 0.742
0.252 0.244 0.992
0.252 0.992 0.244
0.253 0.741 0.992
0.253 0.992 0.741
0.254 0.242 0.493
0.254 0.493 0.242
0.255 0.495 0.741
0.255 0.741 0.495
0.500 0.239 0.239
0.500 0.239 0.736
0.500 0.736 0.239
0.500 0.741 0.741
0.745 0.495 0.741
0.745 0.741 0.495
0.746 0.242 0.493
0.746 0.493 0.242
0.747 0.741 0.992
0.747 0.992 0.741
0.748 0.244 0.992
0.748 0.992 0.244
```

Calculated values
* SG: No. 38
* E_form (uncorrected): -2.496 eV/atom
* V: 513.8 Å³ per cell

***

[2]
This record from Alexandria describes K5Na3Nb6W2O24 after structural relaxation. The functional is PBEsol.

The structure in POSCAR format:
```
K5Na3Nb6W2O24
1.0
7.955 0.000 0.000
0.000 5.630 5.631
0.000 -5.630 5.631
K Na Nb W O
5 3 6 2 24
direct
0.000 0.000 0.000
0.000 0.000 0.500
0.000 0.499 0.499
0.000 0.500 0.000
0.500 0.000 0.000
0.500 0.005 0.494
0.500 0.494 0.005
0.500 0.494 0.494
0.251 0.250 0.250
0.251 0.251 0.749
0.251 0.749 0.251
0.749 0.250 0.250
0.749 0.251 0.749
0.749 0.749 0.251
0.252 0.749 0.749
0.748 0.749 0.749
0.000 0.250 0.250
0.000 0.250 0.749
0.000 0.749 0.250
0.000 0.749 0.749
0.252 0.748 0.992
0.252 0.992 0.748
0.253 0.252 0.999
0.253 0.507 0.749
0.253 0.749 0.507
0.253 0.999 0.252
0.255 0.250 0.501
0.255 0.501 0.250
0.500 0.252 0.252
0.500 0.252 0.748
0.500 0.748 0.252
0.500 0.749 0.749
0.745 0.250 0.501
0.745 0.501 0.250
0.747 0.252 0.999
0.747 0.507 0.749
0.747 0.749 0.507
0.747 0.999 0.252
0.748 0.748 0.992
0.748 0.992 0.748
```

Calculated values
* SG: No. 38
* E_form (uncorrected): -2.372 eV/atom
* V: 504.4 Å³ per cell

***

[3]
This record from Alexandria describes K5Na3Nb4W4O24 after structural relaxation. The functional is PBEsol.

The structure in POSCAR format:
```
K5Na3Nb4W4O24
1.0
5.595 -5.595 0.000
5.595 5.595 0.000
-0.001 0.000 7.911
K Na Nb W O
5 3 4 4 24
direct
0.000 0.000 0.000
0.000 0.000 0.499
0.000 0.501 0.499
0.500 0.500 0.500
0.501 0.000 0.499
0.003 0.497 0.997
0.497 0.003 0.997
0.497 0.497 0.997
0.250 0.250 0.751
0.251 0.251 0.248
0.251 0.750 0.751
0.750 0.251 0.751
0.251 0.750 0.248
0.750 0.251 0.248
0.750 0.750 0.248
0.750 0.750 0.752
0.251 0.251 0.499
0.251 0.502 0.755
0.251 0.506 0.246
0.251 0.750 0.493
0.252 0.252 0.001
0.252 0.749 0.005
0.252 0.994 0.247
0.252 0.999 0.753
0.501 0.750 0.246
0.502 0.251 0.755
0.506 0.251 0.246
0.506 0.749 0.754
0.748 0.994 0.752
0.749 0.252 0.005
0.749 0.506 0.754
0.749 0.749 0.001
0.749 0.999 0.247
0.750 0.251 0.493
0.750 0.501 0.246
0.750 0.750 0.499
0.994 0.252 0.247
0.994 0.748 0.752
0.999 0.252 0.753
0.999 0.749 0.247
```

Calculated values
* SG: No. 8
* E_form (uncorrected): -2.306 eV/atom
* V: 495.3 Å³ per cell

***

[4]
This record from Alexandria describes KNa2NbSn after structural relaxation. The functional is PBEsol.

The structure in POSCAR format:
```
KNa2NbSn
1.0
5.843 0.000 0.000
0.000 5.843 0.000
0.000 0.000 5.500
K Na Nb Sn
1 2 1 1
direct
0.000 0.000 0.000
0.000 0.500 0.500
0.500 0.000 0.500
0.500 0.500 0.000
0.500 0.500 0.500
```

Calculated values
* E_form: 3.15 eV per formula unit
* SG: No. 123
* V: 187.8 Å³ per cell